[1]
Computed, not measured: CaLa5Bi6 after structural relaxation at the PBE level of DFT.

Energy relative to the elements ... -1132.1 kJ/mol of formula units
Fermi-level density of states ... 6.3 states/eV/cell

Cell lengths 8.135, 8.142, 8.146 Å; angles 60.02, 80.39, 70.49 degrees
Sites, in units of the cell vectors:
La 0.500 0.166 0.667
La 0.500 0.834 0.333
La 0.000 0.667 0.666
La 0.000 0.333 0.334
La 0.500 0.500 0.000
Bi 0.249 0.583 0.334
Bi 0.751 0.083 0.334
Bi 0.249 0.917 0.666
Bi 0.750 0.749 0.000
Bi 0.751 0.417 0.666
Bi 0.250 0.251 0.000
Ca 0.000 0.000 0.000


[2]
Computed, not measured: Ta2BiTeCl after structural relaxation at the PBE level of DFT.

Fermi-level density of states ... 5.2 states/eV/cell
ΔE_f (raw) ... 1.6496 eV/atom

Cell lengths 5.132, 5.992, 5.132 Å; angles 90.00, 90.00, 90.00 degrees
Each line ends with the local moment (μB).
Sites, in units of the cell vectors:
Te 0.000 0.000 0.000  -0.01
Ta 0.000 0.000 0.500  0.52
Ta 0.500 0.000 0.000  0.48
Bi 0.000 0.500 0.000  -0.17
Cl 0.500 0.500 0.500  0.05


[3]
Computed, not measured: LiAc2H2Se2 after structural relaxation at the PBE level of DFT.

Fermi-level density of states ... 2.0 states/eV/cell
Energy ... -32.16 eV/f.u.

Cell lengths 4.314, 4.314, 8.425 Å; angles 104.83, 104.83, 90.00 degrees
Each line ends with the local moment (μB).
Sites, in units of the cell vectors:
Ac 0.626 0.626 0.253  0.07
Ac 0.374 0.374 0.747  0.07
Li 0.000 0.000 0.000  0.01
H 0.000 0.500 0.000  -0.01
H 0.500 0.000 0.000  -0.01
Se 0.169 0.169 0.338  0.00
Se 0.831 0.831 0.662  0.00